(1)
Ho8ZnSi3Te4 GGA-PBE optimized geometry; raw formation energy = -0.98 eV/atom; DFT total energy = -0.189 Ha/atom; calculated density = 7.63 g/cm³; size of the total moment = 0.0000 μB per atom; space-group type = R-3m (166)
1.0
8.378 0.000 0.000
0.000 8.578 0.133
-4.189 -4.185 5.929
Ho Zn Si Te
8 1 3 4
Cartesian
2.038 2.123 5.900
4.189 0.235 3.047
4.189 4.144 2.924
0.000 4.158 3.015
-2.038 2.123 5.900
2.151 2.269 0.162
6.228 2.269 0.162
0.000 0.249 3.139
0.000 4.289 0.067
2.095 2.196 3.031
4.189 4.289 0.067
-2.095 2.196 3.031
-2.095 -2.093 2.965
4.189 0.000 0.000
0.000 0.000 0.000
2.095 -2.093 2.965

***

(2)
Ho2ZnAs GGA-PBE optimized geometry; formation enthalpy at 0 K = -680 meV/atom; DFT total energy = -0.164 Ha/atom; energy relative to the lowest polymorph listed for this composition = 0.000 eV/atom; calculated density = 8.83 g/cm³; size of the total moment = 0.0000 μB per atom; space-group type = P4/mmm (123)
1.0
-0.578 -2.441 2.770
4.221 1.307 2.032
-2.296 3.444 2.555
Ho As Zn
2 1 1
Cartesian
-1.148 1.722 1.278
2.111 0.653 1.016
0.674 1.155 3.679
-0.289 -1.220 1.385

***

(3)
Cs5K4Ag2 GGA-PBE optimized geometry; formation enthalpy at 0 K = 58 meV/atom; DFT total energy = -0.046 Ha/atom; calculated density = 1.93 g/cm³; size of the total moment = 0.0000 μB per atom; space-group type = C2/m (12)
1.0
-3.039 0.821 3.950
8.008 -6.583 7.529
10.254 9.609 2.662
K Cs Ag
4 5 2
Cartesian
5.901 -3.203 5.206
9.462 3.133 6.628
5.761 0.714 7.513
9.322 7.050 8.936
10.154 -1.639 8.153
11.269 2.971 11.282
5.069 5.486 5.989
-1.520 0.411 1.975
3.954 0.876 2.860
6.728 2.419 4.673
8.495 1.428 9.468

***

(4)
MnSe GGA-PBE optimized geometry; raw formation energy = -0.29 eV/atom; DFT total energy = -0.243 Ha/atom; calculated density = 3.45 g/cm³; size of the total moment = 2.4880 μB per atom; space-group type = Pm-3n (223)
1.0
7.284 0.000 0.000
0.000 7.284 0.000
0.000 0.000 7.284
Mn Se
6 6
Cartesian
0.000 3.642 5.463
3.642 1.821 0.000
3.642 5.463 0.000
1.821 0.000 3.642
0.000 3.642 1.821
5.463 0.000 3.642
3.642 0.000 5.463
0.000 1.821 3.642
0.000 5.463 3.642
1.821 3.642 0.000
3.642 0.000 1.821
5.463 3.642 0.000

***

(5)
In5Se4 GGA-PBE optimized geometry; raw formation energy = -0.27 eV/atom; DFT total energy = -0.123 Ha/atom; energy relative to the lowest polymorph listed for this composition = 0.000 eV/atom; calculated density = 5.90 g/cm³; size of the total moment = 0.0000 μB per atom; space-group type = P6_3/mcm (193)
1.0
-3.272 1.715 7.518
-1.602 -7.348 -3.687
6.636 -3.270 3.634
In Se
10 8
Cartesian
-2.715 -1.306 3.783
0.603 -2.941 5.600
-0.790 0.466 6.536
0.460 -6.318 -1.852
4.154 -2.021 4.616
0.434 -2.234 1.872
1.159 -5.962 1.865
4.574 -4.300 1.799
1.329 -6.670 5.593
-2.159 -4.327 0.048
4.033 -6.785 0.551
2.977 -4.764 4.297
-1.215 -4.139 3.167
0.000 0.000 0.000
0.316 -0.114 3.994
3.048 -1.442 7.158
1.002 -3.833 -0.605
3.318 -1.635 1.817

***

(6)
CoIr2SeS GGA-PBE optimized geometry; raw formation energy = 0.77 eV/atom; DFT total energy = -0.210 Ha/atom; calculated density = 11.12 g/cm³; size of the total moment = 0.2757 μB per atom; space-group type = P4/mmm (123)
1.0
4.502 0.000 0.000
0.000 4.084 0.000
0.000 0.000 4.502
Ir Co S Se
2 1 1 1
Cartesian
2.251 0.000 0.000
0.000 0.000 2.251
0.000 2.042 0.000
0.000 0.000 0.000
2.251 2.042 2.251

***

(7)
Ce3Ho5H12 GGA-PBE optimized geometry; DFT total energy = -0.165 Ha/atom; calculated density = 7.37 g/cm³; size of the total moment = 0.0645 μB per atom; space-group type = Ia-3d (230)
1.0
11.374 0.000 0.000
-3.791 10.723 0.000
-3.791 -5.362 9.286
H Ho Ce
48 20 12
Cartesian
3.639 1.556 5.410
5.111 5.990 5.234
4.045 -1.299 8.571
7.430 1.227 0.591
-3.114 9.113 1.358
-4.468 3.052 6.716
-2.471 5.876 7.213
5.010 1.610 1.358
7.836 5.391 1.482
2.471 1.143 3.161
8.259 2.310 2.570
-0.575 0.515 2.073
0.575 6.504 6.126
-2.048 2.579 6.001
5.839 9.496 0.591
3.216 -1.143 3.161
1.642 1.299 8.571
-3.943 7.941 3.286
-1.218 -3.052 6.716
2.573 4.662 3.928
5.839 2.783 3.286
-3.216 4.734 5.234
6.262 -0.515 2.073
1.218 0.700 5.359
4.367 4.847 7.213
-4.045 -0.030 7.804
2.149 4.063 0.715
-1.320 -0.628 4.052
5.010 8.413 2.570
5.433 5.332 1.482
7.734 -2.579 6.001
-2.048 -4.135 8.696
1.642 -1.269 8.520
1.320 4.219 6.126
7.007 0.628 4.052
6.905 -3.752 7.929
-3.639 4.135 8.696
2.149 6.630 0.767
4.468 -0.700 5.359
-1.218 3.752 7.929
-0.254 4.093 0.767
0.152 3.806 3.876
2.048 -1.556 5.410
-0.254 6.660 0.715
-1.642 0.030 7.804
1.744 6.917 3.876
-0.677 6.062 3.928
4.045 1.269 8.520
4.739 -3.351 8.126
6.635 -0.670 5.804
-2.843 6.032 3.482
4.739 4.691 3.482
-0.948 2.681 2.322
-3.791 2.681 4.643
0.948 -2.681 6.965
4.739 2.681 6.965
5.687 0.000 0.000
0.000 0.000 0.000
2.843 8.042 2.322
-1.896 5.362 0.000
1.896 2.681 4.643
-1.896 -2.681 4.643
-0.948 8.713 1.161
-0.948 0.670 5.804
3.791 -2.681 4.643
2.843 2.011 1.161
3.791 5.362 0.000
0.948 3.351 8.126
-2.843 -2.011 8.126
8.530 0.000 2.322
2.843 0.000 6.965
-2.843 2.011 8.126
-4.739 5.362 6.965
2.843 6.032 5.804
4.739 0.670 3.482
6.635 7.372 1.161
0.948 -0.670 3.482
-0.948 4.691 5.804
6.635 3.351 1.161
0.948 5.362 2.322

***

(8)
Ce5ScBi4 GGA-PBE optimized geometry; formation enthalpy at 0 K = -523 meV/atom; DFT total energy = -0.209 Ha/atom; calculated density = 8.48 g/cm³; size of the total moment = 0.7209 μB per atom; space-group type = Pmmn (59)
1.0
4.623 0.000 0.000
0.000 10.737 0.000
0.000 0.000 12.482
Ce Bi Sc
10 8 2
Cartesian
1.153 7.412 1.960
3.469 8.694 4.281
1.163 0.000 6.241
3.460 5.368 0.000
1.153 3.325 10.521
1.153 7.412 10.521
3.469 2.043 4.281
1.153 3.325 1.960
3.469 2.043 8.201
3.469 8.694 8.201
1.158 3.344 6.241
3.465 8.713 0.000
1.157 0.000 2.985
3.465 5.368 3.256
3.465 2.024 0.000
3.465 5.368 9.225
1.158 7.393 6.241
1.157 0.000 9.497
3.470 5.368 6.241
1.153 0.000 0.000

***

(9)
Rb3Zn2PdF9 GGA-PBE optimized geometry; raw formation energy = -2.30 eV/atom; DFT total energy = -0.152 Ha/atom; calculated density = 4.79 g/cm³; size of the total moment = 0.1333 μB per atom; space-group type = P-3m1 (164)
1.0
6.008 0.000 0.000
-3.004 5.203 0.000
0.000 0.000 7.376
Rb F Pd Zn
3 9 1 2
Cartesian
3.004 1.734 2.483
0.000 0.000 0.000
0.000 3.469 4.893
1.449 4.305 2.387
4.453 0.898 4.989
1.555 0.898 4.989
1.502 2.601 0.000
-1.502 2.601 0.000
-1.449 4.305 2.387
3.004 0.000 0.000
0.000 1.795 2.387
3.004 3.408 4.989
0.000 0.000 3.688
3.004 1.734 6.211
0.000 3.469 1.165

***

(10)
CeEr2Tl GGA-PBE optimized geometry; formation enthalpy at 0 K = -59 meV/atom; DFT total energy = -0.162 Ha/atom; energy relative to the lowest polymorph listed for this composition = 0.077 eV/atom; calculated density = 9.59 g/cm³; size of the total moment = 0.3267 μB per atom; space-group type = R3m (160)
1.0
3.523 0.000 0.000
1.761 3.051 0.000
1.761 1.017 10.939
Er Tl Ce
2 1 1
Cartesian
1.761 1.017 2.593
1.761 1.017 8.342
3.523 2.034 0.002
3.523 2.034 5.472